a) {
  "formula": "PtAu5",
  "functional": "PBEsol",
  "state": "relaxed",
  "lattice": [[0.0000, 3.7611, 3.7611], [3.7611, 0.0000, 3.7611], [3.7611, 3.7611, 0.0000]],
  "species": ["Pt", "Au", "Au", "Au", "Au", "Au"],
  "frac_coords": [[0.0000, 0.0000, 0.0000], [0.3750, 0.3750, 0.3750], [0.3750, 0.3750, 0.8751], [0.3750, 0.8751, 0.3750], [0.7500, 0.7500, 0.7500], [0.8751, 0.3750, 0.3750]],
  "dos_at_fermi_per_ev_fu": 2.3,
  "crystal_system": "cubic",
  "magnetic_moment_mub_per_cell": 0.00
}

***

b) {
  "formula": "PtAu5",
  "functional": "PBEsol",
  "state": "relaxed",
  "lattice": [[4.7579, 0.0000, 0.0000], [0.0000, 1.4279, 7.3340], [0.0000, -1.4279, 7.3340]],
  "species": ["Pt", "Au", "Au", "Au", "Au", "Au"],
  "frac_coords": [[0.0000, 0.0000, 0.0000], [0.0000, 0.3356, 0.3356], [0.0000, 0.6658, 0.6658], [0.5000, 0.1123, 0.1123], [0.5000, 0.4480, 0.4480], [0.5000, 0.7794, 0.7794]],
  "dos_at_fermi_per_ev_fu": 2.6,
  "crystal_system": "orthorhombic",
  "magnetic_moment_mub_per_cell": 0.00
}

***

b) wins, 324 meV per atom ahead of the next structure.

***

a) {
  "formula": "RePt2Au",
  "functional": "PBEsol",
  "state": "relaxed",
  "lattice": [[2.7656, 0.0000, 0.0000], [0.0000, 2.7656, 0.0000], [0.0000, 0.0000, 7.9872]],
  "species": ["Re", "Pt", "Pt", "Au"],
  "frac_coords": [[0.0000, 0.0000, 0.0000], [0.5000, 0.5000, 0.2322], [0.5000, 0.5000, 0.7678], [0.0000, 0.0000, 0.5000]],
  "dos_at_fermi_per_ev_fu": 1.9,
  "crystal_system": "tetragonal",
  "magnetic_moment_mub_per_cell": 0.00
}

***

b) {
  "formula": "RePt2Au",
  "functional": "PBEsol",
  "state": "relaxed",
  "lattice": [[1.3891, 0.8020, 9.1408], [-1.3891, 0.8020, 9.1408], [0.0000, -1.6041, 9.1408]],
  "species": ["Re", "Pt", "Pt", "Au"],
  "frac_coords": [[0.0000, 0.0000, 0.0000], [0.2542, 0.2542, 0.2542], [0.7458, 0.7458, 0.7458], [0.5000, 0.5000, 0.5000]],
  "dos_at_fermi_per_ev_fu": 3.9,
  "crystal_system": "trigonal",
  "magnetic_moment_mub_per_cell": 0.00
}

***

c) {
  "formula": "RePt2Au",
  "functional": "PBEsol",
  "state": "relaxed",
  "lattice": [[0.0000, 3.1424, 3.1424], [3.1424, 0.0000, 3.1424], [3.1424, 3.1424, 0.0000]],
  "species": ["Re", "Pt", "Pt", "Au"],
  "frac_coords": [[0.0000, 0.0000, 0.0000], [0.2500, 0.2500, 0.2500], [0.7500, 0.7500, 0.7500], [0.5000, 0.5000, 0.5000]],
  "dos_at_fermi_per_ev_fu": 4.5,
  "crystal_system": "cubic",
  "magnetic_moment_mub_per_cell": 0.51
}

***

a) wins, 76 meV per atom ahead of the next structure.